# 1
The following is a DFT calculation (PBE) of ScTe2Os after structural relaxation.

It has space group C2/m (No. 12), with a = 5.884 Å, b = 8.995 Å, c = 4.533 Å, α = 90.00°, β = 130.05° and γ = 90.00°. The inequivalent atoms are Sc at (0.000, 0.000, 0.000), Te at (0.250, 0.250, 0.500) and Os at (0.000, 0.500, 0.000).

As for the magnetic moment: 0.0 μB per cell. The energy above the most stable polymorph in this dataset is 58.6 kJ/mol of atoms. The calculation puts the total energy at -5.712 eV per atom. The raw formation energy is 0.25 eV/atom.

---

# 2
The following is a DFT calculation (PBE) of Sc6Te2Os after structural relaxation.

It has space group P-62m (No. 189), with a = 7.7414 Å, b = 7.7414 Å, c = 3.8642 Å, α = 90.00°, β = 90.00° and γ = 120.00°. The inequivalent atoms are Sc at (0.0000, 0.2394, 0.0000), Sc at (0.0000, 0.6156, 0.5000), Te at (0.3333, 0.6667, 0.0000) and Os at (0.0000, 0.0000, 0.5000).

As for the magnetic moment: 0.0 μB per cell. The calculation puts the total energy at -6.881 eV per atom. The raw formation energy is -0.71 eV/atom.

---

# 3
The following is a DFT calculation (PBE) of ScTe2Os after structural relaxation.

It has space group Immm (No. 71), with a = 3.799 Å, b = 4.292 Å, c = 13.510 Å, α = 90.00°, β = 90.00° and γ = 90.00°. The inequivalent atoms are Sc at (0.000, 0.000, 0.000), Te at (0.000, 0.500, 0.144) and Os at (0.000, 0.000, 0.500).

As for the magnetic moment: 0.0 μB per cell. The energy above the most stable polymorph in this dataset is 0.0 kJ/mol of atoms. The calculation puts the total energy at -6.319 eV per atom. The raw formation energy is -0.36 eV/atom.

---

# 4
The following is a DFT calculation (PBE) of ScTe2Os after structural relaxation.

It has space group F-43m (No. 216), with a = 7.020 Å, b = 7.020 Å, c = 7.020 Å, α = 90.00°, β = 90.00° and γ = 90.00°. The inequivalent atoms are Sc at (0.000, 0.000, 0.000), Te at (0.000, 0.000, 0.500), Te at (0.250, 0.250, 0.750) and Os at (0.250, 0.250, 0.250).

As for the magnetic moment: 4.4 μB per cell. The energy above the most stable polymorph in this dataset is 76.9 kJ/mol of atoms. The calculation puts the total energy at -5.522 eV per atom. The raw formation energy is 0.44 eV/atom.

---

# 5
The following is a DFT calculation (PBE) of ScTe2Os after structural relaxation.

It has space group P4mm (No. 99), with a = 3.609 Å, b = 3.609 Å, c = 7.470 Å, α = 90.00°, β = 90.00° and γ = 90.00°. The inequivalent atoms are Sc at (0.000, 0.000, 0.000), Te at (0.000, 0.000, 0.613), Te at (0.500, 0.500, 0.171) and Os at (0.500, 0.500, 0.783).

As for the magnetic moment: 1.0 μB per cell. The energy above the most stable polymorph in this dataset is 15.3 kJ/mol of atoms. The calculation puts the total energy at -6.161 eV per atom. The raw formation energy is -0.20 eV/atom.

---

# 6
The following is a DFT calculation (PBE) of ScTe2Os after structural relaxation.

It has space group R-3m (No. 166, hexagonal axes), with a = 4.2282 Å, b = 4.2282 Å, c = 17.4074 Å, α = 90.00°, β = 90.00° and γ = 120.00°. The inequivalent atoms are Sc at (0.0000, 0.0000, 0.0000), Te at (0.0000, 0.0000, 0.2378) and Os at (0.0000, 0.0000, 0.5000).

As for the magnetic moment: 0.0 μB per cell. The energy above the most stable polymorph in this dataset is 27.0 kJ/mol of atoms. The calculation puts the total energy at -6.039 eV per atom. The raw formation energy is -0.08 eV/atom.

---

# 7
The following is a DFT calculation (PBE) of ScTe2Os after structural relaxation.

It has space group P-3m1 (No. 164), with a = 4.2372 Å, b = 4.2372 Å, c = 5.8611 Å, α = 90.00°, β = 90.00° and γ = 120.00°. The inequivalent atoms are Sc at (0.0000, 0.0000, 0.0000), Te at (0.3333, 0.6667, 0.2904) and Os at (0.0000, 0.0000, 0.5000).

As for the magnetic moment: 0.0 μB per cell. The energy above the most stable polymorph in this dataset is 0.7 kJ/mol of atoms. The calculation puts the total energy at -6.312 eV per atom. The raw formation energy is -0.35 eV/atom.

---

# 8
The following is a DFT calculation (PBE) of ScTe2Os after structural relaxation.

It has space group Fm-3m (No. 225), with a = 6.886 Å, b = 6.886 Å, c = 6.886 Å, α = 90.00°, β = 90.00° and γ = 90.00°. The inequivalent atoms are Sc at (0.000, 0.000, 0.000), Te at (0.250, 0.250, 0.250) and Os at (0.000, 0.000, 0.500).

As for the magnetic moment: 0.0 μB per cell. The energy above the most stable polymorph in this dataset is 42.2 kJ/mol of atoms. The calculation puts the total energy at -5.881 eV per atom. The raw formation energy is 0.08 eV/atom.

---

# 9
The following is a DFT calculation (PBE) of ScTeOs4 after structural relaxation.

It has space group F-43m (No. 216), with a = 7.468 Å, b = 7.468 Å, c = 7.468 Å, α = 90.00°, β = 90.00° and γ = 90.00°. The inequivalent atoms are Sc at (0.000, 0.000, 0.000), Te at (0.250, 0.250, 0.750) and Os at (0.125, 0.125, 0.375).

As for the magnetic moment: 0.0 μB per cell. The calculation puts the total energy at -8.684 eV per atom. The raw formation energy is 0.38 eV/atom.

---

# 10
The following is a DFT calculation (PBE) of ScTe2Os after structural relaxation.

It has space group R-3m (No. 166, hexagonal axes), with a = 3.8623 Å, b = 3.8623 Å, c = 26.1149 Å, α = 90.00°, β = 90.00° and γ = 120.00°. The inequivalent atoms are Sc at (0.0000, 0.0000, 0.0000), Te at (0.0000, 0.0000, 0.1110) and Os at (0.0000, 0.0000, 0.5000).

As for the magnetic moment: 0.0 μB per cell. The energy above the most stable polymorph in this dataset is 58.5 kJ/mol of atoms. The calculation puts the total energy at -5.713 eV per atom. The raw formation energy is 0.25 eV/atom.

---

# 11
The following is a DFT calculation (PBE) of Sc7Te2Os2 after structural relaxation.

It has space group Imm2 (No. 44), with a = 3.823 Å, b = 14.698 Å, c = 8.655 Å, α = 90.00°, β = 90.00° and γ = 90.00°. The inequivalent atoms are Sc at (0.000, 0.000, 0.000), Sc at (0.000, 0.136, 0.586), Sc at (0.000, 0.315, 0.367), Sc at (0.000, 0.348, 0.743), Te at (0.000, 0.000, 0.336), Te at (0.000, 0.500, 0.237) and Os at (0.000, 0.235, 0.062).

As for the magnetic moment: 1.4 μB per cell. The calculation puts the total energy at -7.294 eV per atom. The raw formation energy is -0.65 eV/atom.

---

# 12
The following is a DFT calculation (PBE) of ScTe3Os after structural relaxation.

It has space group Pm-3m (No. 221), with a = 5.228 Å, b = 5.228 Å, c = 5.228 Å, α = 90.00°, β = 90.00° and γ = 90.00°. The inequivalent atoms are Sc at (0.000, 0.000, 0.000), Te at (0.000, 0.500, 0.500) and Os at (0.500, 0.500, 0.500).

As for the magnetic moment: 0.0 μB per cell. The energy above the most stable polymorph in this dataset is 0.0 kJ/mol of atoms. The calculation puts the total energy at -4.914 eV per atom. The raw formation energy is 0.48 eV/atom.